# Ca3FeO

Ca3FeO after structural relaxation (PBE with a Hubbard U, Alexandria via LeMat-Bulk).

Cell: 4.872 4.872 4.872 Å, 90.00 90.00 90.00°
Site moments in Bohr magnetons follow the coordinates.
Sites, in units of the cell vectors:
Ca (0.000, 0.500, 0.000)  -0.05
Ca (0.000, 0.000, 0.500)  -0.06
Ca (0.500, 0.000, 0.000)  -0.07
Fe (0.500, 0.500, 0.500)  3.47
O (0.000, 0.000, 0.000)  -0.01

## Properties
Energy relative to the lowest polymorph listed for this composition = 0.000 eV/f.u.
Magnetic moment = 2.96 μB/cell
E_tot = -19.97 eV/f.u.
Symmetry = Pm-3m (221)
Fermi-level density of states = 17.4 states/eV per cell